Here is SrCoH4 after structural relaxation from the Alexandria database. Energies are from GGA-PBE.

Values from the calculation:
- total DFT energy (no corrections) (eV/atom) = -3.989
- space group = No. 123

a b c (Å): 3.4051 3.4051 4.6683
angles (deg): 90.00 90.00 90.00
Each line ends with the local moment (μB).
Atoms (fractional coordinates):
H1 0.0001 0.5000 0.1733  0.00
H2 0.0000 0.0000 0.5000  0.00
H3 0.9999 0.5000 0.8267  0.00
H4 0.5000 0.5000 0.5000  0.00
Co1 0.0000 0.5000 0.5000  0.36
Sr1 0.5000 0.0000 0.0000  0.01

***

Here is LuAlCo after structural relaxation from the Alexandria database. Energies are from GGA-PBE.

Values from the calculation:
- ΔE_f (eV/atom) = -0.35
- space group = No. 107

a b c (Å): 3.0868 3.0868 5.7540
angles (deg): 105.56 105.56 90.00
Each line ends with the local moment (μB).
Atoms (fractional coordinates):
Al1 0.2993 0.2993 0.5985  0.01
Co1 0.6847 0.6847 0.3693  -0.45
Lu1 0.0161 0.0161 0.0322  0.09

***

Here is YZnSi after structural relaxation from the Alexandria database. Energies are from GGA-PBE.

Values from the calculation:
- uncorrected formation energy (kJ/mol of atoms) = -30.1
- space group = No. 216

a b c (Å): 4.4980 4.4980 4.4980
angles (deg): 60.00 60.00 60.00
Atoms (fractional coordinates):
Zn1 0.5000 0.5000 0.5000
Y1 0.0000 0.0000 0.0000
Si1 0.7500 0.7500 0.7500

***

Here is ThTc2Ge4 after structural relaxation from the Alexandria database. Energies are from GGA-PBE.

Values from the calculation:
- ΔE_f (eV/atom) = -0.33
- E above lowest polymorph (eV/atom) = 0.0000
- space group = No. 62

a b c (Å): 4.3609 6.3393 18.4397
angles (deg): 90.00 90.00 90.00
Atoms (fractional coordinates):
Ge1 0.2500 0.4964 0.4156
Ge2 0.2500 0.1381 0.5301
Ge3 0.2500 0.3619 0.0301
Ge4 0.2500 0.2692 0.6954
Ge5 0.2500 0.2308 0.1954
Ge6 0.2500 0.8220 0.1752
Ge7 0.2500 0.0036 0.9156
Ge8 0.2500 0.6780 0.6752
Ge9 0.7500 0.5036 0.5844
Ge10 0.7500 0.9964 0.0844
Ge11 0.7500 0.3220 0.3248
Ge12 0.7500 0.8619 0.4699
Ge13 0.7500 0.7308 0.3046
Ge14 0.7500 0.1780 0.8248
Ge15 0.7500 0.7692 0.8046
Ge16 0.7500 0.6381 0.9699
Tc1 0.2500 0.7063 0.5261
Tc2 0.7500 0.0409 0.2193
Tc3 0.7500 0.2937 0.4739
Tc4 0.2500 0.7937 0.0261
Tc5 0.7500 0.4591 0.7193
Tc6 0.2500 0.9591 0.7807
Tc7 0.2500 0.5409 0.2807
Tc8 0.7500 0.2063 0.9739
Th1 0.2500 0.0085 0.3655
Th2 0.2500 0.4915 0.8655
Th3 0.7500 0.9915 0.6345
Th4 0.7500 0.5085 0.1345

***

Here is KP3 after structural relaxation from the Alexandria database. Energies are from GGA-PBE.

Values from the calculation:
- ΔE_f (eV/atom) = -0.05
- E above lowest polymorph (eV/atom) = 0.0482
- space group = No. 194

a b c (Å): 6.4976 6.4976 6.3394
angles (deg): 90.00 90.00 120.00
Atoms (fractional coordinates):
P1 0.8907 0.7813 0.2500
P2 0.1093 0.2187 0.7500
P3 0.2187 0.1093 0.2500
P4 0.8907 0.1093 0.2500
P5 0.7813 0.8907 0.7500
P6 0.1093 0.8907 0.7500
K1 0.6667 0.3333 0.7500
K2 0.3333 0.6667 0.2500

***

Here is Cs2BeInBr6 after structural relaxation from the Alexandria database. Energies are from GGA-PBE.

Values from the calculation:
- uncorrected formation energy (kJ/mol of atoms) = -107.8
- space group = No. 139

a b c (Å): 7.6619 7.6619 7.7014
angles (deg): 60.17 60.17 90.00
Atoms (fractional coordinates):
Br1 0.2697 0.7303 0.0000
Br2 0.2651 0.2651 0.4698
Br3 0.7303 0.2697 0.0000
Br4 0.7349 0.7349 0.5302
Br5 0.7303 0.7303 0.0000
Br6 0.2697 0.2697 0.0000
In1 0.0000 0.0000 0.0000
Be1 0.5000 0.5000 0.0000
Cs1 0.7500 0.2500 0.5000
Cs2 0.2500 0.7500 0.5000

***

Here is TlMoPb2 after structural relaxation from the Alexandria database. Energies are from GGA-PBE.

Values from the calculation:
- ΔE_f (eV/atom) = 0.64
- E above lowest polymorph (eV/atom) = 0.1828
- space group = No. 6

a b c (Å): 4.7791 3.7158 5.8729
angles (deg): 71.29 90.00 90.00
Atoms (fractional coordinates):
Pb1 0.5000 0.2789 0.3198
Pb2 0.0000 0.9699 0.9308
Mo1 0.5000 0.5529 0.7719
Tl1 0.0000 0.6984 0.4775

***

Here is HfFe2Pb after structural relaxation from the Alexandria database. Energies are from GGA-PBE.

Values from the calculation:
- ΔE_f (eV/atom) = 0.67
- space group = No. 122

a b c (Å): 7.3045 7.3045 5.9025
angles (deg): 51.77 51.77 90.00
Each line ends with the local moment (μB).
Atoms (fractional coordinates):
Hf1 0.5000 0.5000 0.0000  -0.40
Hf2 0.2500 0.7500 0.5000  -0.40
Fe1 0.6154 0.1250 0.2500  2.31
Fe2 0.1346 0.6250 0.2500  2.33
Fe3 0.3750 0.3846 0.7500  2.30
Fe4 0.8750 0.8654 0.7500  2.32
Pb1 0.0000 0.0000 0.0000  0.01
Pb2 0.7500 0.2500 0.5000  0.01

***

Here is Ta2Ge2W after structural relaxation from the Alexandria database. Energies are from GGA-PBE.

Values from the calculation:
- ΔE_f (eV/atom) = -0.09
- space group = No. 127

a b c (Å): 6.7433 6.7433 3.6056
angles (deg): 90.00 90.00 90.00
Atoms (fractional coordinates):
Ta1 0.3368 0.1632 0.5000
Ta2 0.1632 0.6632 0.5000
Ta3 0.6632 0.8368 0.5000
Ta4 0.8368 0.3368 0.5000
W1 0.0000 0.0000 0.0000
W2 0.5000 0.5000 0.0000
Ge1 0.1374 0.3626 0.0000
Ge2 0.8626 0.6374 0.0000
Ge3 0.3626 0.8626 0.0000
Ge4 0.6374 0.1374 0.0000

***

Here is TaCr2Co after structural relaxation from the Alexandria database. Energies are from GGA-PBE.

Values from the calculation:
- ΔE_f (eV/atom) = 0.22
- E above lowest polymorph (eV/atom) = 0.2103
- space group = No. 123

a b c (Å): 2.5856 2.5856 7.8567
angles (deg): 90.00 90.00 90.00
Each line ends with the local moment (μB).
Atoms (fractional coordinates):
Cr1 0.0000 0.0000 0.9643  0.01
Cr2 0.0000 0.0000 0.5357  0.01
Co1 0.5000 0.5000 0.7500  0.28
Ta1 0.5000 0.5000 0.2500  -0.01

***

Here is Nd2HoTmS5 after structural relaxation from the Alexandria database. Energies are from GGA-PBE.

Values from the calculation:
- uncorrected formation energy (kJ/mol of atoms) = -143.3
- space group = No. 123

a b c (Å): 4.8317 4.8317 10.2136
angles (deg): 90.00 90.00 90.00
Atoms (fractional coordinates):
S1 0.0000 0.0000 0.2453
S2 0.5000 0.5000 0.0000
S3 0.0000 0.0000 0.7547
S4 0.0000 0.5000 0.5000
S5 0.5000 0.0000 0.5000
Ho1 0.0000 0.0000 0.0000
Nd1 0.5000 0.5000 0.7065
Nd2 0.5000 0.5000 0.2935
Tm1 0.0000 0.0000 0.5000

***

Here is TaSe after structural relaxation from the Alexandria database. Energies are from GGA-PBE.

Values from the calculation:
- uncorrected formation energy (kJ/mol of atoms) = 31.2
- space group = No. 225

a b c (Å): 5.3089 5.3089 5.3089
angles (deg): 90.00 90.00 90.00
Atoms (fractional coordinates):
Se1 0.0000 0.5000 0.5000
Se2 0.5000 0.5000 0.0000
Se3 0.5000 0.0000 0.5000
Se4 0.0000 0.0000 0.0000
Ta1 0.0000 0.0000 0.5000
Ta2 0.5000 0.5000 0.5000
Ta3 0.5000 0.0000 0.0000
Ta4 0.0000 0.5000 0.0000

***

Here is RbCoRu after structural relaxation from the Alexandria database. Energies are from GGA-PBE.

Values from the calculation:
- ΔE_f (eV/atom) = 0.63
- E above lowest polymorph (eV/atom) = 0.0027
- space group = No. 12

a b c (Å): 11.7847 4.2567 4.2567
angles (deg): 95.62 112.73 67.27
Atoms (fractional coordinates):
Ru1 0.0000 0.2254 0.2254
Ru2 0.0000 0.7746 0.7746
Rb1 0.2916 0.9559 0.0441
Rb2 0.7084 0.0441 0.9559
Co1 0.0941 0.6229 0.3771
Co2 0.9059 0.3771 0.6229

***

Here is Mg7Pb after structural relaxation from the Alexandria database. Energies are from GGA-PBE.

Values from the calculation:
- ΔE_f (eV/atom) = -0.03
- E above lowest polymorph (eV/atom) = 0.0000
- space group = No. 139

a b c (Å): 4.5269 4.5269 9.7396
angles (deg): 103.44 103.44 90.00
Atoms (fractional coordinates):
Mg1 0.8726 0.3726 0.7452
Mg2 0.5000 0.5000 0.0000
Mg3 0.3726 0.8726 0.7452
Mg4 0.6274 0.1274 0.2548
Mg5 0.7486 0.7486 0.4972
Mg6 0.2514 0.2514 0.5028
Mg7 0.1274 0.6274 0.2548
Pb1 0.0000 0.0000 0.0000

***

Here is LaZn3O3 after structural relaxation from the Alexandria database. Energies are from GGA-PBE.

Values from the calculation:
- uncorrected formation energy (kJ/mol of atoms) = -88.5
- space group = No. 223

a b c (Å): 5.9645 5.9645 5.9645
angles (deg): 90.00 90.00 90.00
Atoms (fractional coordinates):
La1 0.0000 0.0000 0.0000
La2 0.5000 0.5000 0.5000
O1 0.7500 0.5000 0.0000
O2 0.0000 0.7500 0.5000
O3 0.2500 0.5000 0.0000
O4 0.0000 0.2500 0.5000
O5 0.5000 0.0000 0.2500
O6 0.5000 0.0000 0.7500
Zn1 0.2500 0.0000 0.5000
Zn2 0.5000 0.7500 0.0000
Zn3 0.7500 0.0000 0.5000
Zn4 0.0000 0.5000 0.7500
Zn5 0.5000 0.2500 0.0000
Zn6 0.0000 0.5000 0.2500

***

Here is NaLi3 after structural relaxation from the Alexandria database. Energies are from GGA-PBE.

Values from the calculation:
- ΔE_f (eV/atom) = 0.05
- E above lowest polymorph (eV/atom) = 0.0288
- space group = No. 221

a b c (Å): 4.5879 4.5879 4.5879
angles (deg): 90.00 90.00 90.00
Atoms (fractional coordinates):
Li1 0.5000 0.0000 0.5000
Li2 0.0000 0.5000 0.5000
Li3 0.5000 0.5000 0.0000
Na1 0.0000 0.0000 0.0000

***

Here is La2HCl after structural relaxation from the Alexandria database. Energies are from GGA-PBE.

Values from the calculation:
- E above lowest polymorph (eV/atom) = 0.2077
- space group = No. 122

a b c (Å): 7.0346 7.0346 6.2860
angles (deg): 55.98 55.98 90.00
Atoms (fractional coordinates):
La1 0.3750 0.4437 0.7500
La2 0.5563 0.1250 0.2500
La3 0.1937 0.6250 0.2500
La4 0.8750 0.8063 0.7500
H1 0.5000 0.5000 0.0000
H2 0.2500 0.7500 0.5000
Cl1 0.0000 0.0000 0.0000
Cl2 0.7500 0.2500 0.5000

***

Here is Sr2Ag3HgSb4 after structural relaxation from the Alexandria database. Energies are from GGA-PBE.

Values from the calculation:
- uncorrected formation energy (kJ/mol of atoms) = -37.9
- space group = No. 115

a b c (Å): 4.8247 4.8247 11.9006
angles (deg): 90.00 90.00 90.00
Atoms (fractional coordinates):
Sr1 0.0000 0.5000 0.7540
Sr2 0.5000 0.0000 0.2460
Ag1 0.5000 0.0000 0.8678
Ag2 0.0000 0.5000 0.1322
Ag3 0.0000 0.0000 0.5000
Sb1 0.5000 0.5000 0.0000
Sb2 0.0000 0.0000 0.0000
Sb3 0.5000 0.0000 0.6410
Sb4 0.0000 0.5000 0.3590
Hg1 0.5000 0.5000 0.5000

***

Here is SnHg3F after structural relaxation from the Alexandria database. Energies are from GGA-PBE.

Values from the calculation:
- uncorrected formation energy (kJ/mol of atoms) = -19.1
- E above lowest polymorph (eV/atom) = 0.0000
- space group = No. 221

a b c (Å): 5.5792 5.5792 5.5792
angles (deg): 90.00 90.00 90.00
Atoms (fractional coordinates):
Sn1 0.0000 0.0000 0.0000
Hg1 0.0000 0.5000 0.0000
Hg2 0.5000 0.0000 0.0000
Hg3 0.0000 0.0000 0.5000
F1 0.5000 0.5000 0.5000